Record 1
# PBE K2TlIn2, optimized geometry
data_K2TlIn2
_chemical_formula_sum 'K4 Tl2 In4'
_space_group_name_H-M_alt 'P 4/m b m'
_space_group_IT_number 127
_space_group_name_Hall '-P 4 2ab'
_cell_length_a 7.922
_cell_length_b 7.922
_cell_length_c 5.951
_cell_angle_alpha 90.00
_cell_angle_beta 90.00
_cell_angle_gamma 90.00
loop_
_atom_site_label
_atom_site_type_symbol
_atom_site_fract_x
_atom_site_fract_y
_atom_site_fract_z
K1 K 0.179 0.321 0.000
Tl1 Tl 0.000 0.000 0.500
In1 In 0.131 0.631 0.500
# Density of states at the Fermi level: 0.5467 states/eV per atom
# Excess energy over the best structure of this formula in the dataset: 0.048 eV per atom
# ΔE_f: -0.04 eV/atom


Record 2
# PBE NaSrGePb, optimized geometry
data_NaSrGePb
_chemical_formula_sum 'Na4 Sr4 Ge4 Pb4'
_space_group_name_H-M_alt 'F -4 3 m'
_space_group_IT_number 216
_space_group_name_Hall 'F -4 2 3'
_cell_length_a 7.735
_cell_length_b 7.735
_cell_length_c 7.735
_cell_angle_alpha 90.00
_cell_angle_beta 90.00
_cell_angle_gamma 90.00
loop_
_atom_site_label
_atom_site_type_symbol
_atom_site_fract_x
_atom_site_fract_y
_atom_site_fract_z
Na1 Na 0.000 0.000 0.000
Sr1 Sr 0.000 0.000 0.500
Ge1 Ge 0.250 0.250 0.250
Pb1 Pb 0.250 0.250 0.750
# Density of states at the Fermi level: 0.4800 states/eV per atom
# ΔE_f: -0.21 eV/atom


Record 3
# PBE Pm4Dy7Sc, optimized geometry
data_Pm4Dy7Sc
_chemical_formula_sum 'Pm4 Dy7 Sc1'
_space_group_name_H-M_alt 'P -1'
_space_group_IT_number 2
_cell_length_a 6.521
_cell_length_b 6.784
_cell_length_c 9.028
_cell_angle_alpha 85.35
_cell_angle_beta 77.32
_cell_angle_gamma 82.33
loop_
_space_group_symop_operation_xyz
'x,y,z'
'-x,-y,-z'
loop_
_atom_site_label
_atom_site_type_symbol
_atom_site_fract_x
_atom_site_fract_y
_atom_site_fract_z
Pm1 Pm 0.133 0.307 0.283
Pm2 Pm 0.346 0.886 0.694
Dy1 Dy 0.022 0.250 0.950
Dy2 Dy 0.191 0.802 0.351
Dy3 Dy 0.308 0.396 0.614
Dy4 Dy 0.500 0.500 0.000
Sc1 Sc 0.500 0.000 0.000
# Density of states at the Fermi level: 1.5905 states/eV per atom
# Excess energy over the best structure of this formula in the dataset: 0.000 eV per atom
# ΔE_f: 0.09 eV/atom


Record 4
# PBE LiPm3Sm4Te8, optimized geometry
data_LiPm3Sm4Te8
_chemical_formula_sum 'Li3 Pm9 Sm12 Te24'
_space_group_name_H-M_alt 'R -3 m'
_space_group_IT_number 166
_space_group_name_Hall '-R 3 2"'
_cell_length_a 8.8775
_cell_length_b 8.8775
_cell_length_c 21.7306
_cell_angle_alpha 90.00
_cell_angle_beta 90.00
_cell_angle_gamma 120.00
loop_
_atom_site_label
_atom_site_type_symbol
_atom_site_fract_x
_atom_site_fract_y
_atom_site_fract_z
Li1 Li 0.0000 0.0000 0.0000
Pm1 Pm 0.0000 0.5000 0.0000
Sm1 Sm 0.0000 0.0000 0.5000
Sm2 Sm 0.0000 0.5000 0.5000
Te1 Te 0.0000 0.0000 0.2494
Te2 Te 0.0095 0.5048 0.7482
# Density of states at the Fermi level: 0.4830 states/eV per atom
# Energy relative to the elements, uncorrected: -1.38 eV/atom


Record 5
# PBE CoSe5, optimized geometry
data_CoSe5
_chemical_formula_sum 'Co2 Se10'
_space_group_name_H-M_alt 'C 1 m 1'
_space_group_IT_number 8
_cell_length_a 13.020
_cell_length_b 3.229
_cell_length_c 7.126
_cell_angle_alpha 90.00
_cell_angle_beta 92.76
_cell_angle_gamma 90.00
loop_
_space_group_symop_operation_xyz
'x,y,z'
'x,-y,z'
'x+1/2,y+1/2,z'
'x+1/2,-y+1/2,z'
loop_
_atom_site_label
_atom_site_type_symbol
_atom_site_fract_x
_atom_site_fract_y
_atom_site_fract_z
Co1 Co 0.000 0.000 0.000
Se1 Se 0.031 0.000 0.671
Se2 Se 0.141 0.500 0.041
Se3 Se 0.204 0.500 0.352
Se4 Se 0.386 0.000 0.869
Se5 Se 0.418 0.000 0.205
# Density of states at the Fermi level: 0.2190 states/eV per atom
# Energy relative to the elements, uncorrected: 0.09 eV/atom


Record 6
# PBE Li7TaP6, optimized geometry
data_Li7TaP6
_chemical_formula_sum 'Li7 Ta1 P6'
_space_group_name_H-M_alt 'P 1'
_space_group_IT_number 1
_cell_length_a 6.582
_cell_length_b 6.596
_cell_length_c 6.604
_cell_angle_alpha 71.79
_cell_angle_beta 71.87
_cell_angle_gamma 71.90
loop_
_space_group_symop_operation_xyz
'x,y,z'
loop_
_atom_site_label
_atom_site_type_symbol
_atom_site_fract_x
_atom_site_fract_y
_atom_site_fract_z
Li1 Li 0.000 0.000 0.000
Li2 Li 0.011 0.490 0.821
Li3 Li 0.142 0.913 0.481
Li4 Li 0.188 0.479 0.332
Li5 Li 0.435 0.150 0.951
Li6 Li 0.520 0.667 0.811
Li7 Li 0.672 0.620 0.244
Ta1 Ta 0.646 0.125 0.457
P1 P 0.254 0.171 0.646
P2 P 0.410 0.454 0.610
P3 P 0.692 0.314 0.066
P4 P 0.800 0.889 0.785
P5 P 0.834 0.734 0.503
P6 P 0.975 0.278 0.220
# ΔE_f: -0.46 eV/atom